A relaxed LiLa2Rh crystal. Source: the Alexandria database, functional PBE.

Its crystal system is trigonal. The calculation puts the density at 5986 kg/m3. For the formation energy, the calculation gives -275 meV/atom.

a b c (Å): 4.252 4.252 20.609
angles (deg): 90.00 90.00 120.00
Positions (direct):
Li  0.000  0.000  0.000
Li  0.333  0.667  0.667
Li  0.667  0.333  0.333
La  0.000  0.000  0.577
La  0.000  0.000  0.760
La  0.333  0.667  0.243
La  0.333  0.667  0.427
La  0.667  0.333  0.094
La  0.667  0.333  0.910
Rh  0.000  0.000  0.342
Rh  0.333  0.667  0.009
Rh  0.667  0.333  0.676

***

A relaxed LiMnCo crystal. Source: the Alexandria database, functional PBE.

Its crystal system is cubic. The calculation puts the density at 5422 kg/m3. For the formation energy, the calculation gives 701 meV/atom. The value obtained for the energy relative to the lowest polymorph listed for this composition is 462 meV per atom.

a b c (Å): 5.290 5.290 5.290
angles (deg): 90.00 90.00 90.00
Positions (direct):
Li  0.000  0.000  0.000
Li  0.000  0.500  0.500
Li  0.500  0.000  0.500
Li  0.500  0.500  0.000
Mn  0.000  0.000  0.500
Mn  0.000  0.500  0.000
Mn  0.500  0.000  0.000
Mn  0.500  0.500  0.500
Co  0.250  0.250  0.750
Co  0.250  0.750  0.250
Co  0.750  0.250  0.250
Co  0.750  0.750  0.750

***

A relaxed Tl9In2Pb crystal. Source: the Alexandria database, functional PBE.

Its crystal system is tetragonal. The calculation puts the density at 10418 kg/m3. For the formation energy, the calculation gives 25 meV/atom.

a b c (Å): 4.746 4.746 16.111
angles (deg): 90.00 90.00 90.00
Positions (direct):
Tl  0.000  0.000  0.000
Tl  0.000  0.000  0.334
Tl  0.000  0.000  0.666
Tl  0.000  0.500  0.168
Tl  0.000  0.500  0.500
Tl  0.000  0.500  0.832
Tl  0.500  0.000  0.168
Tl  0.500  0.000  0.500
Tl  0.500  0.000  0.832
In  0.500  0.500  0.336
In  0.500  0.500  0.664
Pb  0.500  0.500  0.000

***

A relaxed Al2GePd crystal. Source: the Alexandria database, functional PBE.

Its crystal system is tetragonal. The calculation puts the density at 4163 kg/m3. For the formation energy, the calculation gives 126 meV/atom.

a b c (Å): 5.477 5.477 12.394
angles (deg): 90.00 90.00 90.00
Positions (direct):
Al  0.243  0.250  0.125
Al  0.250  0.743  0.375
Al  0.250  0.757  0.875
Al  0.257  0.250  0.625
Al  0.743  0.750  0.625
Al  0.750  0.243  0.875
Al  0.750  0.257  0.375
Al  0.757  0.750  0.125
Ge  0.000  0.000  0.500
Ge  0.000  0.500  0.750
Ge  0.500  0.000  0.250
Ge  0.500  0.500  0.000
Pd  0.000  0.000  0.000
Pd  0.000  0.500  0.250
Pd  0.500  0.000  0.750
Pd  0.500  0.500  0.500

***

A relaxed NdHo8Mg6 crystal. Source: the Alexandria database, functional PBE.

Its crystal system is trigonal. The calculation puts the density at 5793 kg/m3. For the formation energy, the calculation gives 200 meV/atom.

a b c (Å): 8.302 8.302 8.302
angles (deg): 66.52 66.52 66.52
Positions (direct):
Nd  0.000  0.000  0.000
Ho  0.118  0.783  0.451
Ho  0.217  0.549  0.882
Ho  0.335  0.335  0.335
Ho  0.451  0.118  0.783
Ho  0.549  0.882  0.217
Ho  0.665  0.665  0.665
Ho  0.783  0.451  0.118
Ho  0.882  0.217  0.549
Mg  0.048  0.385  0.712
Mg  0.288  0.952  0.615
Mg  0.385  0.712  0.048
Mg  0.615  0.288  0.952
Mg  0.712  0.048  0.385
Mg  0.952  0.615  0.288

***

A relaxed Ba3Pu2ThO9 crystal. Source: the Alexandria database, functional PBE.

Its crystal system is trigonal. The calculation puts the density at 7878 kg/m3. For the uncorrected formation energy, the calculation gives -3.06 eV/atom.

a b c (Å): 6.323 6.323 7.768
angles (deg): 90.00 90.00 120.00
Positions (direct):
Ba  0.000  0.000  0.000
Ba  0.333  0.667  0.678
Ba  0.667  0.333  0.322
Pu  0.333  0.667  0.163
Pu  0.667  0.333  0.837
Th  0.000  0.000  0.500
O  0.000  0.500  0.000
O  0.169  0.338  0.326
O  0.169  0.831  0.326
O  0.338  0.169  0.674
O  0.500  0.000  0.000
O  0.500  0.500  0.000
O  0.662  0.831  0.326
O  0.831  0.169  0.674
O  0.831  0.662  0.674